This record from the Alexandria database describes a geometry-optimized CaC2 structure. The functional is PBEsol.

The calculation puts the energy at -14.778 eV per formula unit. The formation energy is 2.2141 eV per atom. The calculation puts the energy above the most stable polymorph in this dataset at 51.73 kcal/mol of atoms. For the total magnetization, the calculation gives 0.00 μB per formula unit. As for the volume: 72.98 Å³/cell.

The space group is P6_3/mmc (No. 194) and the conventional cell measures 4.0810, 4.0810 and 5.0600 Å, with angles of 90.00, 90.00 and 120.00 degrees. The distinct sites, in fractional coordinates, are Ca at (0.3333, 0.6667, 0.2500), C at (0.0000, 0.0000, 0.0000) and C at (0.3333, 0.6667, 0.7500).